Entry 1
This record from the Open Quantum Materials Database describes a relaxed PuBePt crystal. The functional is PBE.

The mass density comes out at 12.65 g cm⁻³.

Cell lengths 6.1734, 6.1734, 6.1734 Å; angles 90.00, 90.00, 90.00 degrees
Last column: nearest neighbours and their distance in Å.
Space group F-43m (No. 216)
Asymmetric unit:
Pu (0.0000, 0.0000, 0.0000) x4  4 Pt 2.67
Be (0.0000, 0.0000, 0.5000) x4  4 Pt 2.67
Pt (0.2500, 0.2500, 0.7500) x4  4 Be 2.67, 4 Pu 2.67



Entry 2
This record from the Open Quantum Materials Database describes a relaxed PuBePt crystal. The functional is PBE.

The mass density comes out at 14.22 g cm⁻³.

Cell lengths 5.9372, 5.9372, 5.9372 Å; angles 90.00, 90.00, 90.00 degrees
Last column: nearest neighbours and their distance in Å.
Space group F-43m (No. 216)
Asymmetric unit:
Pu (0.0000, 0.0000, 0.0000) x4  4 Be 2.57
Be (0.2500, 0.2500, 0.7500) x4  4 Pu 2.57, 4 Pt 2.57
Pt (0.0000, 0.0000, 0.5000) x4  4 Be 2.57



The energy of each structure relative to the most stable one, in eV/atom, is as follows: entry 1 0.045; entry 2 0.000.



Entry 1
This record from the Open Quantum Materials Database describes a relaxed RbBeSbPt crystal. The functional is PBE.

The mass density comes out at 8.13 g cm⁻³.

Cell lengths 6.9522, 6.9522, 6.9522 Å; angles 90.00, 90.00, 90.00 degrees
Last column: nearest neighbours and their distance in Å.
Space group F-43m (No. 216)
Asymmetric unit:
Rb (0.0000, 0.0000, 0.0000) x4  4 Sb 3.01, 4 Be 3.01
Be (0.2500, 0.2500, 0.7500) x4  4 Rb 3.01, 4 Pt 3.01
Sb (0.2500, 0.2500, 0.2500) x4  4 Rb 3.01, 4 Pt 3.01
Pt (0.0000, 0.0000, 0.5000) x4  4 Sb 3.01, 4 Be 3.01



Entry 2
This record from the Open Quantum Materials Database describes a relaxed RbBeSbPt crystal. The functional is PBE.

The mass density comes out at 7.66 g cm⁻³.

Cell lengths 7.0904, 7.0904, 7.0904 Å; angles 90.00, 90.00, 90.00 degrees
Last column: nearest neighbours and their distance in Å.
Space group F-43m (No. 216)
Asymmetric unit:
Rb (0.0000, 0.0000, 0.0000) x4  4 Sb 3.07, 4 Pt 3.07
Be (0.0000, 0.0000, 0.5000) x4  4 Sb 3.07, 4 Pt 3.07
Sb (0.2500, 0.2500, 0.2500) x4  4 Be 3.07, 4 Rb 3.07
Pt (0.2500, 0.2500, 0.7500) x4  4 Be 3.07, 4 Rb 3.07



The energy of each structure relative to the most stable one, in eV/atom, is as follows: entry 1 0.000; entry 2 0.224.



Entry 1
This record from the Open Quantum Materials Database describes a relaxed BeRePt crystal. The functional is PBE.

The mass density comes out at 15.48 g cm⁻³.

Cell lengths 5.5124, 5.5124, 5.5124 Å; angles 90.00, 90.00, 90.00 degrees
Last column: nearest neighbours and their distance in Å.
Space group F-43m (No. 216)
Asymmetric unit:
Be (0.0000, 0.0000, 0.0000) x4  4 Re 2.39, 4 Pt 2.39
Re (0.2500, 0.2500, 0.2500) x4  4 Be 2.39
Pt (0.2500, 0.2500, 0.7500) x4  4 Be 2.39



Entry 2
This record from the Open Quantum Materials Database describes a relaxed BeRePt crystal. The functional is PBE.

The mass density comes out at 13.56 g cm⁻³.

Cell lengths 5.7607, 5.7607, 5.7607 Å; angles 90.00, 90.00, 90.00 degrees
Last column: nearest neighbours and their distance in Å.
Space group F-43m (No. 216)
Asymmetric unit:
Be (0.0000, 0.0000, 0.0000) x4  4 Re 2.49
Re (0.2500, 0.2500, 0.2500) x4  4 Be 2.49, 4 Pt 2.49
Pt (0.0000, 0.0000, 0.5000) x4  4 Re 2.49



The energy of each structure relative to the most stable one, in eV/atom, is as follows: entry 1 0.000; entry 2 0.270.



Entry 1
This record from the Open Quantum Materials Database describes a relaxed ScBePt crystal. The functional is PBE.

The mass density comes out at 7.40 g cm⁻³.

Cell lengths 6.0682, 6.0682, 6.0682 Å; angles 90.00, 90.00, 90.00 degrees
Last column: nearest neighbours and their distance in Å.
Space group F-43m (No. 216)
Asymmetric unit:
Sc (0.0000, 0.0000, 0.0000) x4  4 Pt 2.63, 4 Be 2.63
Be (0.2500, 0.2500, 0.7500) x4  4 Sc 2.63
Pt (0.2500, 0.2500, 0.2500) x4  4 Sc 2.63



Entry 2
This record from the Open Quantum Materials Database describes a relaxed ScBePt crystal. The functional is PBE.

The mass density comes out at 7.58 g cm⁻³.

Cell lengths 6.0205, 6.0205, 6.0205 Å; angles 90.00, 90.00, 90.00 degrees
Last column: nearest neighbours and their distance in Å.
Space group F-43m (No. 216)
Asymmetric unit:
Sc (0.0000, 0.0000, 0.0000) x4  4 Pt 2.61
Be (0.0000, 0.0000, 0.5000) x4  4 Pt 2.61
Pt (0.2500, 0.2500, 0.7500) x4  4 Be 2.61, 4 Sc 2.61



The energy of each structure relative to the most stable one, in eV/atom, is as follows: entry 1 0.529; entry 2 0.000.